Record 1
An optimized crystal structure of TbCe2Si3Ir4. Source: Alexandria via LeMat-Bulk, functional PBE-GGA.

Output
Formation energy without anion corrections: -0.93 eV per atom
Magnetization: 1.300 μB per formula unit

The structure in CIF format:
```
data_TbCe2Si3Ir4
_chemical_formula_sum 'Tb1 Ce2 Si3 Ir4'
_space_group_name_H-M_alt 'P -4 m 2'
_space_group_IT_number 115
_cell_length_a 4.120
_cell_length_b 4.120
_cell_length_c 11.101
_cell_angle_alpha 90.00
_cell_angle_beta 90.00
_cell_angle_gamma 90.00
loop_
_space_group_symop_operation_xyz
'x,y,z'
'y,-x,-z'
'-x,-y,z'
'-y,x,-z'
'-x,y,z'
'-y,-x,-z'
'x,-y,z'
'y,x,-z'
loop_
_atom_site_label
_atom_site_type_symbol
_atom_site_fract_x
_atom_site_fract_y
_atom_site_fract_z
Tb1 Tb 0.000 0.000 0.000
Ce1 Ce 0.000 0.500 0.732
Si1 Si 0.000 0.500 0.383
Si2 Si 0.500 0.500 0.000
Ir1 Ir 0.000 0.000 0.500
Ir2 Ir 0.000 0.500 0.168
Ir3 Ir 0.500 0.500 0.500
```


Record 2
An optimized crystal structure of Ce2Si3TcIr4. Source: Alexandria via LeMat-Bulk, functional PBE-GGA.

Output
Formation energy without anion corrections: -0.87 eV per atom
Magnetization: 0.428 μB per formula unit

The structure in CIF format:
```
data_Ce2Si3TcIr4
_chemical_formula_sum 'Ce2 Si3 Tc1 Ir4'
_space_group_name_H-M_alt 'P -4 m 2'
_space_group_IT_number 115
_cell_length_a 4.136
_cell_length_b 4.136
_cell_length_c 10.240
_cell_angle_alpha 90.00
_cell_angle_beta 90.00
_cell_angle_gamma 90.00
loop_
_space_group_symop_operation_xyz
'x,y,z'
'y,-x,-z'
'-x,-y,z'
'-y,x,-z'
'-x,y,z'
'-y,-x,-z'
'x,-y,z'
'y,x,-z'
loop_
_atom_site_label
_atom_site_type_symbol
_atom_site_fract_x
_atom_site_fract_y
_atom_site_fract_z
Ce1 Ce 0.000 0.500 0.246
Si1 Si 0.000 0.500 0.872
Si2 Si 0.500 0.500 0.500
Tc1 Tc 0.000 0.000 0.500
Ir1 Ir 0.000 0.000 0.000
Ir2 Ir 0.000 0.500 0.636
Ir3 Ir 0.500 0.500 0.000
```


Record 3
An optimized crystal structure of CeThSi2Ir2. Source: Alexandria via LeMat-Bulk, functional PBE-GGA.

Output
Formation energy without anion corrections: -0.97 eV per atom
Magnetization: 0.003 μB per formula unit

The structure in CIF format:
```
data_CeThSi2Ir2
_chemical_formula_sum 'Ce1 Th1 Si2 Ir2'
_space_group_name_H-M_alt 'P -3 m 1'
_space_group_IT_number 164
_space_group_name_Hall '-P 3 2"'
_cell_length_a 4.2098
_cell_length_b 4.2098
_cell_length_c 8.0332
_cell_angle_alpha 90.00
_cell_angle_beta 90.00
_cell_angle_gamma 120.00
loop_
_atom_site_label
_atom_site_type_symbol
_atom_site_fract_x
_atom_site_fract_y
_atom_site_fract_z
Ce1 Ce 0.0000 0.0000 0.0000
Th1 Th 0.0000 0.0000 0.5000
Si1 Si 0.3333 0.6667 0.7563
Ir1 Ir 0.3333 0.6667 0.2498
```


Record 4
An optimized crystal structure of CeTh2Si3Ir4. Source: Alexandria via LeMat-Bulk, functional PBE-GGA.

Output
Formation energy without anion corrections: -0.95 eV per atom
Magnetization: 0.000 μB per formula unit

The structure in CIF format:
```
data_CeTh2Si3Ir4
_chemical_formula_sum 'Ce1 Th2 Si3 Ir4'
_space_group_name_H-M_alt 'P -4 m 2'
_space_group_IT_number 115
_cell_length_a 4.173
_cell_length_b 4.173
_cell_length_c 11.051
_cell_angle_alpha 90.00
_cell_angle_beta 90.00
_cell_angle_gamma 90.00
loop_
_space_group_symop_operation_xyz
'x,y,z'
'y,-x,-z'
'-x,-y,z'
'-y,x,-z'
'-x,y,z'
'-y,-x,-z'
'x,-y,z'
'y,x,-z'
loop_
_atom_site_label
_atom_site_type_symbol
_atom_site_fract_x
_atom_site_fract_y
_atom_site_fract_z
Ce1 Ce 0.000 0.000 0.000
Th1 Th 0.000 0.500 0.729
Si1 Si 0.000 0.500 0.381
Si2 Si 0.500 0.500 0.000
Ir1 Ir 0.000 0.000 0.500
Ir2 Ir 0.000 0.500 0.163
Ir3 Ir 0.500 0.500 0.500
```